[1]
Material: ZnAg8
Method: DFT, PBE-GGA
State: optimized geometry

Structure (CIF):
```
data_ZnAg8
_symmetry_space_group_name_H-M 'I 4/m m m'
_symmetry_Int_Tables_number 139
_symmetry_space_group_name_Hall '-I 4 2'
_cell_length_a 8.779
_cell_length_b 8.779
_cell_length_c 4.096
_cell_angle_alpha 90.00
_cell_angle_beta 90.00
_cell_angle_gamma 90.00
loop_
_atom_site_label
_atom_site_type_symbol
_atom_site_fract_x
_atom_site_fract_y
_atom_site_fract_z
Zn1 Zn 0.000 0.000 0.000
Ag1 Ag 0.000 0.331 0.000
Ag2 Ag 0.164 0.164 0.500
```

Output
The total magnetization is 0.00 μB/f.u. The energy above the lowest structure with this stoichiometry comes out at 0 meV/atom. As for the total DFT energy (no corrections): -2.657 eV per atom. As for the crystal system: tetragonal.

[2]
Material: Zn3Ag4
Method: DFT, PBE-GGA
State: optimized geometry

Structure (CIF):
```
data_Zn3Ag4
_symmetry_space_group_name_H-M 'I 4/m m m'
_symmetry_Int_Tables_number 139
_symmetry_space_group_name_Hall '-I 4 2'
_cell_length_a 2.964
_cell_length_b 2.964
_cell_length_c 26.248
_cell_angle_alpha 90.00
_cell_angle_beta 90.00
_cell_angle_gamma 90.00
loop_
_atom_site_label
_atom_site_type_symbol
_atom_site_fract_x
_atom_site_fract_y
_atom_site_fract_z
Zn1 Zn 0.000 0.000 0.000
Zn2 Zn 0.000 0.000 0.282
Ag1 Ag 0.000 0.000 0.148
Ag2 Ag 0.000 0.000 0.431
```

Output
The total magnetization is 0.00 μB/f.u. The energy above the lowest structure with this stoichiometry comes out at 0 meV/atom. As for the total DFT energy (no corrections): -2.198 eV per atom. As for the crystal system: tetragonal.

[3]
Material: ZnAg
Method: DFT, PBE-GGA
State: optimized geometry

Structure (CIF):
```
data_ZnAg
_symmetry_space_group_name_H-M 'F -4 3 m'
_symmetry_Int_Tables_number 216
_symmetry_space_group_name_Hall 'F -4 2 3'
_cell_length_a 5.939
_cell_length_b 5.939
_cell_length_c 5.939
_cell_angle_alpha 90.00
_cell_angle_beta 90.00
_cell_angle_gamma 90.00
loop_
_atom_site_label
_atom_site_type_symbol
_atom_site_fract_x
_atom_site_fract_y
_atom_site_fract_z
Zn1 Zn 0.000 0.000 0.000
Ag1 Ag 0.250 0.250 0.750
```

Output
The total magnetization is 0.00 μB/f.u. As for the total DFT energy (no corrections): -1.565 eV per atom. As for the crystal system: cubic.

[4]
Material: ZnAg4
Method: DFT, PBE-GGA
State: optimized geometry

Structure (CIF):
```
data_ZnAg4
_symmetry_space_group_name_H-M 'I m m m'
_symmetry_Int_Tables_number 71
_symmetry_space_group_name_Hall '-I 2 2'
_cell_length_a 2.989
_cell_length_b 3.900
_cell_length_c 14.792
_cell_angle_alpha 90.00
_cell_angle_beta 90.00
_cell_angle_gamma 90.00
loop_
_atom_site_label
_atom_site_type_symbol
_atom_site_fract_x
_atom_site_fract_y
_atom_site_fract_z
Zn1 Zn 0.000 0.000 0.000
Ag1 Ag 0.000 0.000 0.199
Ag2 Ag 0.000 0.000 0.405
```

Output
The total magnetization is 0.00 μB/f.u. The energy above the lowest structure with this stoichiometry comes out at 0 meV/atom. As for the total DFT energy (no corrections): -2.541 eV per atom. As for the crystal system: orthorhombic.

[5]
Material: ZnAg
Method: DFT, PBE-GGA
State: optimized geometry

Structure (CIF):
```
data_ZnAg
_symmetry_space_group_name_H-M 'C 1 2/m 1'
_symmetry_Int_Tables_number 12
_symmetry_space_group_name_Hall '-C 2y'
_cell_length_a 9.964
_cell_length_b 2.986
_cell_length_c 4.695
_cell_angle_alpha 90.00
_cell_angle_beta 112.09
_cell_angle_gamma 90.00
loop_
_atom_site_label
_atom_site_type_symbol
_atom_site_fract_x
_atom_site_fract_y
_atom_site_fract_z
Zn1 Zn 0.133 0.000 0.332
Ag1 Ag 0.117 0.500 0.820
```

Output
The total magnetization is 0.00 μB/f.u. As for the total DFT energy (no corrections): -2.101 eV per atom. As for the crystal system: monoclinic.

[6]
Material: ZnAg3
Method: DFT, PBE-GGA
State: optimized geometry

Structure (CIF):
```
data_ZnAg3
_symmetry_space_group_name_H-M 'I m m 2'
_symmetry_Int_Tables_number 44
_symmetry_space_group_name_Hall 'I 2 -2'
_cell_length_a 2.931
_cell_length_b 9.416
_cell_length_c 4.950
_cell_angle_alpha 90.00
_cell_angle_beta 90.00
_cell_angle_gamma 90.00
loop_
_atom_site_label
_atom_site_type_symbol
_atom_site_fract_x
_atom_site_fract_y
_atom_site_fract_z
Zn1 Zn 0.000 0.000 0.000
Ag1 Ag 0.000 0.259 0.349
Ag2 Ag 0.000 0.500 0.989
```

Output
The total magnetization is 0.00 μB/f.u. As for the total DFT energy (no corrections): -2.470 eV per atom. As for the crystal system: orthorhombic.

[7]
Material: ZnAg
Method: DFT, PBE-GGA
State: optimized geometry

Structure (CIF):
```
data_ZnAg
_symmetry_space_group_name_H-M 'P 4/n m m'
_symmetry_Int_Tables_number 129
_cell_length_a 2.882
_cell_length_b 2.882
_cell_length_c 7.859
_cell_angle_alpha 90.00
_cell_angle_beta 90.00
_cell_angle_gamma 90.00
loop_
_symmetry_equiv_pos_as_xyz
'x,y,z'
'-x,-y,-z'
'-y+1/2,x,z'
'y+1/2,-x,-z'
'-x+1/2,-y+1/2,z'
'x+1/2,y+1/2,-z'
'y,-x+1/2,z'
'-y,x+1/2,-z'
'x+1/2,-y,-z'
'-x+1/2,y,z'
'-y,-x,-z'
'y,x,z'
'-x,y+1/2,-z'
'x,-y+1/2,z'
'y+1/2,x+1/2,-z'
'-y+1/2,-x+1/2,z'
loop_
_atom_site_label
_atom_site_type_symbol
_atom_site_fract_x
_atom_site_fract_y
_atom_site_fract_z
Zn1 Zn 0.250 0.250 0.119
Ag1 Ag 0.250 0.250 0.638
```

Output
The total magnetization is 0.00 μB/f.u. As for the total DFT energy (no corrections): -2.075 eV per atom. As for the crystal system: tetragonal.

[8]
Material: ZnAg3
Method: DFT, PBE-GGA
State: optimized geometry

Structure (CIF):
```
data_ZnAg3
_symmetry_space_group_name_H-M 'R -3 m'
_symmetry_Int_Tables_number 166
_symmetry_space_group_name_Hall '-R 3 2"'
_cell_length_a 2.9278
_cell_length_b 2.9278
_cell_length_c 27.7917
_cell_angle_alpha 90.00
_cell_angle_beta 90.00
_cell_angle_gamma 120.00
loop_
_atom_site_label
_atom_site_type_symbol
_atom_site_fract_x
_atom_site_fract_y
_atom_site_fract_z
Zn1 Zn 0.0000 0.0000 0.0000
Ag1 Ag 0.0000 0.0000 0.2534
Ag2 Ag 0.0000 0.0000 0.5000
```

Output
The total magnetization is 0.00 μB/f.u. As for the total DFT energy (no corrections): -2.455 eV per atom. As for the crystal system: trigonal.

[9]
Material: Zn7Ag5
Method: DFT, PBE-GGA
State: optimized geometry

Structure (CIF):
```
data_Zn7Ag5
_symmetry_space_group_name_H-M 'C 1 2/m 1'
_symmetry_Int_Tables_number 12
_symmetry_space_group_name_Hall '-C 2y'
_cell_length_a 14.655
_cell_length_b 2.886
_cell_length_c 10.396
_cell_angle_alpha 90.00
_cell_angle_beta 118.56
_cell_angle_gamma 90.00
loop_
_atom_site_label
_atom_site_type_symbol
_atom_site_fract_x
_atom_site_fract_y
_atom_site_fract_z
Zn1 Zn 0.000 0.000 0.000
Zn2 Zn 0.030 0.500 0.252
Zn3 Zn 0.141 0.000 0.752
Zn4 Zn 0.165 0.000 0.498
Ag1 Ag 0.000 0.500 0.500
Ag2 Ag 0.160 0.500 0.991
Ag3 Ag 0.196 0.000 0.257
```

Output
The total magnetization is 0.00 μB/f.u. The energy above the lowest structure with this stoichiometry comes out at 0 meV/atom. As for the total DFT energy (no corrections): -1.949 eV per atom. As for the crystal system: monoclinic.

[10]
Material: ZnAg3
Method: DFT, PBE-GGA
State: optimized geometry

Structure (CIF):
```
data_ZnAg3
_symmetry_space_group_name_H-M 'P m -3 m'
_symmetry_Int_Tables_number 221
_symmetry_space_group_name_Hall '-P 4 2 3'
_cell_length_a 4.954
_cell_length_b 4.954
_cell_length_c 4.954
_cell_angle_alpha 90.00
_cell_angle_beta 90.00
_cell_angle_gamma 90.00
loop_
_atom_site_label
_atom_site_type_symbol
_atom_site_fract_x
_atom_site_fract_y
_atom_site_fract_z
Zn1 Zn 0.000 0.000 0.000
Ag1 Ag 0.000 0.000 0.500
```

Output
The total magnetization is 0.00 μB/f.u. As for the total DFT energy (no corrections): -1.753 eV per atom. As for the crystal system: cubic.

[11]
Material: ZnAg
Method: DFT, PBE-GGA
State: optimized geometry

Structure (CIF):
```
data_ZnAg
_symmetry_space_group_name_H-M 'P 63/m m c'
_symmetry_Int_Tables_number 194
_symmetry_space_group_name_Hall '-P 6c 2c'
_cell_length_a 4.4221
_cell_length_b 4.4221
_cell_length_c 8.2235
_cell_angle_alpha 90.00
_cell_angle_beta 90.00
_cell_angle_gamma 120.00
loop_
_atom_site_label
_atom_site_type_symbol
_atom_site_fract_x
_atom_site_fract_y
_atom_site_fract_z
Zn1 Zn 0.0000 0.0000 0.2500
Zn2 Zn 0.3333 0.6667 0.2500
Ag1 Ag 0.3333 0.6667 0.5820
```

Output
The total magnetization is 0.00 μB/f.u. As for the total DFT energy (no corrections): -2.001 eV per atom. As for the crystal system: hexagonal.

[12]
Material: Zn3Ag2
Method: DFT, PBE-GGA
State: optimized geometry

Structure (CIF):
```
data_Zn3Ag2
_symmetry_space_group_name_H-M 'R -3 m'
_symmetry_Int_Tables_number 166
_symmetry_space_group_name_Hall '-R 3 2"'
_cell_length_a 5.1184
_cell_length_b 5.1184
_cell_length_c 11.1846
_cell_angle_alpha 90.00
_cell_angle_beta 90.00
_cell_angle_gamma 120.00
loop_
_atom_site_label
_atom_site_type_symbol
_atom_site_fract_x
_atom_site_fract_y
_atom_site_fract_z
Zn1 Zn 0.0000 0.5000 0.0000
Ag1 Ag 0.0000 0.0000 0.1256
```

Output
The total magnetization is 0.00 μB/f.u. The energy above the lowest structure with this stoichiometry comes out at 35 meV/atom. As for the total DFT energy (no corrections): -1.895 eV per atom. As for the crystal system: trigonal.